[1]
A relaxed structure of SmDy4Tl2, computed with PBE-GGA.

Geometry as CIF:
```
data_SmDy4Tl2
_chemical_formula_sum 'Sm4 Dy16 Tl8'
_cell_length_a 16.6721
_cell_length_b 5.4203
_cell_length_c 9.8718
_cell_angle_alpha 90.00
_cell_angle_beta 106.58
_cell_angle_gamma 90.00
_symmetry_space_group_name_H-M 'C 1 2/m 1'
_symmetry_Int_Tables_number 12
loop_
_symmetry_equiv_pos_as_xyz
'x,y,z'
'-x,-y,-z'
'-x,y,-z'
'x,-y,z'
'x+1/2,y+1/2,z'
'-x+1/2,-y+1/2,-z'
'-x+1/2,y+1/2,-z'
'x+1/2,-y+1/2,z'
loop_
_atom_site_label
_atom_site_type_symbol
_atom_site_fract_x
_atom_site_fract_y
_atom_site_fract_z
_atom_site_occupancy
Sm1 Sm 0.0996 0.0000 0.0732 1
Dy1 Dy 0.0339 0.0000 0.6874 1
Dy2 Dy 0.1394 0.5000 0.3257 1
Dy3 Dy 0.2030 0.5000 0.6929 1
Dy4 Dy 0.2419 0.5000 0.0816 1
Tl1 Tl 0.0515 0.5000 0.8700 1
Tl2 Tl 0.1584 0.0000 0.5007 1
```

Output
Fermi-level density of states ... 30.6 states/eV/cell
Energy above the most stable polymorph in this dataset ... 0.0 meV per atom
Total moment ... 0.00 μB per cell
Volume ... 855.0 Å³ per cell


[2]
A relaxed structure of Sm8Dy5Tl, computed with PBE-GGA.

Geometry as CIF:
```
data_Sm8Dy5Tl
_chemical_formula_sum 'Sm16 Dy10 Tl2'
_cell_length_a 10.5129
_cell_length_b 10.7787
_cell_length_c 8.4221
_cell_angle_alpha 90.00
_cell_angle_beta 90.00
_cell_angle_gamma 90.00
_symmetry_space_group_name_H-M 'I m m 2'
_symmetry_Int_Tables_number 44
loop_
_symmetry_equiv_pos_as_xyz
'x,y,z'
'-x,-y,z'
'-x,y,z'
'x,-y,z'
'x+1/2,y+1/2,z+1/2'
'-x+1/2,-y+1/2,z+1/2'
'-x+1/2,y+1/2,z+1/2'
'x+1/2,-y+1/2,z+1/2'
loop_
_atom_site_label
_atom_site_type_symbol
_atom_site_fract_x
_atom_site_fract_y
_atom_site_fract_z
_atom_site_occupancy
Sm1 Sm 0.0000 0.1596 0.0000 1
Sm2 Sm 0.1624 0.0000 0.3461 1
Sm3 Sm 0.1898 0.2283 0.6728 1
Dy1 Dy 0.0000 0.3137 0.3168 1
Dy2 Dy 0.0000 0.5000 0.8606 1
Dy3 Dy 0.1979 0.5000 0.4907 1
Tl1 Tl 0.0000 0.0000 0.6790 1
```

Output
Fermi-level density of states ... 35.1 states/eV/cell
Total moment ... 0.00 μB per cell
Volume ... 954.4 Å³ per cell


[3]
A relaxed structure of Sm3Dy2Tl2, computed with PBE-GGA.

Geometry as CIF:
```
data_Sm3Dy2Tl2
_chemical_formula_sum 'Sm9 Dy6 Tl6'
_cell_length_a 5.4757
_cell_length_b 5.4757
_cell_length_c 24.3532
_cell_angle_alpha 90.00
_cell_angle_beta 90.00
_cell_angle_gamma 120.00
_symmetry_space_group_name_H-M 'R -3 m'
_symmetry_Int_Tables_number 166
_symmetry_space_group_name_Hall '-R 3 2"'
loop_
_atom_site_label
_atom_site_type_symbol
_atom_site_fract_x
_atom_site_fract_y
_atom_site_fract_z
_atom_site_occupancy
Sm1 Sm 0.0000 0.0000 0.0000 1
Sm2 Sm 0.0000 0.0000 0.1555 1
Dy1 Dy 0.0000 0.0000 0.4253 1
Tl1 Tl 0.0000 0.0000 0.2848 1
```

Output
Fermi-level density of states ... 18.2 states/eV/cell
Energy above the most stable polymorph in this dataset ... 0.0 meV per atom
Total moment ... 0.00 μB per cell
Volume ... 632.4 Å³ per cell


[4]
A relaxed structure of Sm12Dy2Tl, computed with PBE-GGA.

Geometry as CIF:
```
data_Sm12Dy2Tl
_chemical_formula_sum 'Sm48 Dy8 Tl4'
_cell_length_a 7.2522
_cell_length_b 11.4723
_cell_length_c 24.3905
_cell_angle_alpha 90.00
_cell_angle_beta 90.00
_cell_angle_gamma 90.00
_symmetry_space_group_name_H-M 'C m m e'
_symmetry_Int_Tables_number 67
_symmetry_space_group_name_Hall '-C 2a 2'
loop_
_atom_site_label
_atom_site_type_symbol
_atom_site_fract_x
_atom_site_fract_y
_atom_site_fract_z
_atom_site_occupancy
Sm1 Sm 0.0000 0.0010 0.0721 1
Sm2 Sm 0.0000 0.0245 0.5610 1
Sm3 Sm 0.2307 0.2500 0.4123 1
Sm4 Sm 0.2486 0.2500 0.8780 1
Sm5 Sm 0.2500 0.0000 0.1951 1
Sm6 Sm 0.2500 0.0000 0.3232 1
Dy1 Dy 0.0000 0.2500 0.2607 1
Dy2 Dy 0.0000 0.2500 0.7350 1
Tl1 Tl 0.0000 0.2500 0.9998 1
```

Output
Fermi-level density of states ... 83.7 states/eV/cell
Total moment ... 0.00 μB per cell
Volume ... 2029.3 Å³ per cell


[5]
A relaxed structure of Sm2Dy2Tl, computed with PBE-GGA.

Geometry as CIF:
```
data_Sm2Dy2Tl
_chemical_formula_sum 'Sm8 Dy8 Tl4'
_cell_length_a 8.5360
_cell_length_b 9.5065
_cell_length_c 8.5561
_cell_angle_alpha 90.00
_cell_angle_beta 116.18
_cell_angle_gamma 90.00
_symmetry_space_group_name_H-M 'C 1 2/m 1'
_symmetry_Int_Tables_number 12
loop_
_symmetry_equiv_pos_as_xyz
'x,y,z'
'-x,-y,-z'
'-x,y,-z'
'x,-y,z'
'x+1/2,y+1/2,z'
'-x+1/2,-y+1/2,-z'
'-x+1/2,y+1/2,-z'
'x+1/2,-y+1/2,z'
loop_
_atom_site_label
_atom_site_type_symbol
_atom_site_fract_x
_atom_site_fract_y
_atom_site_fract_z
_atom_site_occupancy
Sm1 Sm 0.0764 0.1857 0.2139 1
Dy1 Dy 0.1556 0.5000 0.9303 1
Dy2 Dy 0.2217 0.0000 0.6132 1
Tl1 Tl 0.0000 0.3312 0.5000 1
```

Output
Fermi-level density of states ... 21.5 states/eV/cell
Energy above the most stable polymorph in this dataset ... 0.0 meV per atom
Total moment ... 0.00 μB per cell
Volume ... 623.1 Å³ per cell


[6]
A relaxed structure of Sm5DyTl8, computed with PBE-GGA.

Geometry as CIF:
```
data_Sm5DyTl8
_chemical_formula_sum 'Sm10 Dy2 Tl16'
_cell_length_a 9.4312
_cell_length_b 9.4312
_cell_length_c 9.3335
_cell_angle_alpha 90.00
_cell_angle_beta 90.00
_cell_angle_gamma 90.00
_symmetry_space_group_name_H-M 'I -4'
_symmetry_Int_Tables_number 82
loop_
_symmetry_equiv_pos_as_xyz
'x,y,z'
'y,-x,-z'
'-x,-y,z'
'-y,x,-z'
'x+1/2,y+1/2,z+1/2'
'y+1/2,-x+1/2,-z+1/2'
'-x+1/2,-y+1/2,z+1/2'
'-y+1/2,x+1/2,-z+1/2'
loop_
_atom_site_label
_atom_site_type_symbol
_atom_site_fract_x
_atom_site_fract_y
_atom_site_fract_z
_atom_site_occupancy
Sm1 Sm 0.0000 0.0000 0.0000 1
Sm2 Sm 0.1217 0.2471 0.3736 1
Dy1 Dy 0.0000 0.5000 0.7500 1
Tl1 Tl 0.0794 0.3329 0.0386 1
Tl2 Tl 0.0840 0.1732 0.7093 1
```

Output
Fermi-level density of states ... 25.8 states/eV/cell
Total moment ... 0.00 μB per cell
Volume ... 830.2 Å³ per cell


[7]
A relaxed structure of Sm2DyTl3, computed with PBE-GGA.

Geometry as CIF:
```
data_Sm2DyTl3
_chemical_formula_sum 'Sm2 Dy1 Tl3'
_cell_length_a 3.8089
_cell_length_b 3.8089
_cell_length_c 11.7216
_cell_angle_alpha 90.00
_cell_angle_beta 90.00
_cell_angle_gamma 90.00
_symmetry_space_group_name_H-M 'P 4/m m m'
_symmetry_Int_Tables_number 123
_symmetry_space_group_name_Hall '-P 4 2'
loop_
_atom_site_label
_atom_site_type_symbol
_atom_site_fract_x
_atom_site_fract_y
_atom_site_fract_z
_atom_site_occupancy
Sm1 Sm 0.0000 0.0000 0.1698 1
Dy1 Dy 0.0000 0.0000 0.5000 1
Tl1 Tl 0.5000 0.5000 0.0000 1
Tl2 Tl 0.5000 0.5000 0.3399 1
```

Output
Fermi-level density of states ... 4.7 states/eV/cell
Energy above the most stable polymorph in this dataset ... 0.0 meV per atom
Total moment ... 0.00 μB per cell
Volume ... 170.1 Å³ per cell


[8]
A relaxed structure of Sm3DyTl3, computed with PBE-GGA.

Geometry as CIF:
```
data_Sm3DyTl3
_chemical_formula_sum 'Sm6 Dy2 Tl6'
_cell_length_a 9.5609
_cell_length_b 9.5609
_cell_length_c 5.2936
_cell_angle_alpha 90.00
_cell_angle_beta 90.00
_cell_angle_gamma 120.00
_symmetry_space_group_name_H-M 'P 63/m'
_symmetry_Int_Tables_number 176
_symmetry_space_group_name_Hall '-P 6c'
loop_
_atom_site_label
_atom_site_type_symbol
_atom_site_fract_x
_atom_site_fract_y
_atom_site_fract_z
_atom_site_occupancy
Sm1 Sm 0.0015 0.2386 0.2500 1
Dy1 Dy 0.3333 0.6667 0.2500 1
Tl1 Tl 0.0712 0.4518 0.7500 1
```

Output
Fermi-level density of states ... 11.2 states/eV/cell
Energy above the most stable polymorph in this dataset ... 56.4 meV per atom
Total moment ... 0.00 μB per cell
Volume ... 419.1 Å³ per cell


[9]
A relaxed structure of Sm2Dy6Tl, computed with PBE-GGA.

Geometry as CIF:
```
data_Sm2Dy6Tl
_chemical_formula_sum 'Sm4 Dy12 Tl2'
_cell_length_a 3.5061
_cell_length_b 10.1888
_cell_length_c 15.9292
_cell_angle_alpha 90.00
_cell_angle_beta 90.00
_cell_angle_gamma 90.00
_symmetry_space_group_name_H-M 'I m m m'
_symmetry_Int_Tables_number 71
_symmetry_space_group_name_Hall '-I 2 2'
loop_
_atom_site_label
_atom_site_type_symbol
_atom_site_fract_x
_atom_site_fract_y
_atom_site_fract_z
_atom_site_occupancy
Sm1 Sm 0.0000 0.0000 0.1538 1
Dy1 Dy 0.0000 0.3045 0.5000 1
Dy2 Dy 0.0000 0.3374 0.1767 1
Tl1 Tl 0.0000 0.5000 0.0000 1
```

Output
Fermi-level density of states ... 21.4 states/eV/cell
Energy above the most stable polymorph in this dataset ... 0.0 meV per atom
Total moment ... 0.00 μB per cell
Volume ... 569.0 Å³ per cell


[10]
A relaxed structure of Sm9DyTl2, computed with PBE-GGA.

Geometry as CIF:
```
data_Sm9DyTl2
_chemical_formula_sum 'Sm9 Dy1 Tl2'
_cell_length_a 4.9557
_cell_length_b 4.9557
_cell_length_c 15.2361
_cell_angle_alpha 90.00
_cell_angle_beta 90.00
_cell_angle_gamma 90.00
_symmetry_space_group_name_H-M 'P 4/m m m'
_symmetry_Int_Tables_number 123
_symmetry_space_group_name_Hall '-P 4 2'
loop_
_atom_site_label
_atom_site_type_symbol
_atom_site_fract_x
_atom_site_fract_y
_atom_site_fract_z
_atom_site_occupancy
Sm1 Sm 0.0000 0.0000 0.0000 1
Sm2 Sm 0.0000 0.0000 0.3366 1
Sm3 Sm 0.0000 0.5000 0.1720 1
Sm4 Sm 0.0000 0.5000 0.5000 1
Dy1 Dy 0.5000 0.5000 0.0000 1
Tl1 Tl 0.5000 0.5000 0.3396 1
```

Output
Fermi-level density of states ... 15.3 states/eV/cell
Total moment ... 0.00 μB per cell
Volume ... 374.2 Å³ per cell


[11]
A relaxed structure of Sm2Dy2Tl7, computed with PBE-GGA.

Geometry as CIF:
```
data_Sm2Dy2Tl7
_chemical_formula_sum 'Sm4 Dy4 Tl14'
_cell_length_a 8.7833
_cell_length_b 10.9362
_cell_length_c 7.4700
_cell_angle_alpha 90.00
_cell_angle_beta 90.00
_cell_angle_gamma 90.00
_symmetry_space_group_name_H-M 'C m m m'
_symmetry_Int_Tables_number 65
_symmetry_space_group_name_Hall '-C 2 2'
loop_
_atom_site_label
_atom_site_type_symbol
_atom_site_fract_x
_atom_site_fract_y
_atom_site_fract_z
_atom_site_occupancy
Sm1 Sm 0.1870 0.0000 0.0000 1
Dy1 Dy 0.0000 0.2961 0.5000 1
Tl1 Tl 0.0000 0.0000 0.5000 1
Tl2 Tl 0.0000 0.5000 0.2100 1
Tl3 Tl 0.2500 0.2500 0.2114 1
```

Output
Fermi-level density of states ... 16.7 states/eV/cell
Total moment ... 0.01 μB per cell
Volume ... 717.5 Å³ per cell


[12]
A relaxed structure of Sm2Dy2Tl3, computed with PBE-GGA.

Geometry as CIF:
```
data_Sm2Dy2Tl3
_chemical_formula_sum 'Sm4 Dy4 Tl6'
_cell_length_a 5.3059
_cell_length_b 5.3607
_cell_length_c 15.1022
_cell_angle_alpha 90.00
_cell_angle_beta 90.00
_cell_angle_gamma 90.00
_symmetry_space_group_name_H-M 'I m m m'
_symmetry_Int_Tables_number 71
_symmetry_space_group_name_Hall '-I 2 2'
loop_
_atom_site_label
_atom_site_type_symbol
_atom_site_fract_x
_atom_site_fract_y
_atom_site_fract_z
_atom_site_occupancy
Sm1 Sm 0.0000 0.0000 0.1228 1
Dy1 Dy 0.0000 0.0000 0.3799 1
Tl1 Tl 0.0000 0.5000 0.0000 1
Tl2 Tl 0.0000 0.5000 0.2534 1
```

Output
Fermi-level density of states ... 14.7 states/eV/cell
Energy above the most stable polymorph in this dataset ... 0.0 meV per atom
Total moment ... 0.00 μB per cell
Volume ... 429.6 Å³ per cell


Number 1: E -4.10 eV/atom. Number 2: E -4.36 eV/atom. Number 3: E -4.21 eV/atom. Number 4: E -4.44 eV/atom. Number 5: E -4.25 eV/atom. Number 6: E -3.64 eV/atom. Number 7: E -3.89 eV/atom. Number 8: E -3.91 eV/atom. Number 9: E -4.38 eV/atom. Number 10: E -4.44 eV/atom. Number 11: E -3.14 eV/atom. Number 12: E -3.91 eV/atom.